(1)
{"formula": "CaGeAs2Br", "functional": "PBE-GGA", "state": "optimized geometry", "n_ef_per_ev_cell": 2.43, "e_form_raw_ev_per_fu": -0.767, "magnetic_moment_mub_per_cell": 0.0, "cell": [[-0.1041, -4.5242, -1.9554], [5.0137, 0.9038, -2.3579], [2.2151, -1.7901, 4.0239]], "species": ["As", "Ge", "Ca", "As", "Br"], "fractional_positions": [[0.0000, 0.0000, 0.5000], [0.0000, 0.0000, 0.0000], [0.5000, 0.5000, 0.5000], [0.5000, 0.0000, 0.0000], [0.0000, 0.5000, 0.0000]]}

***

(2)
{"formula": "ZnP2F", "functional": "PBE-GGA", "state": "optimized geometry", "n_ef_per_ev_cell": 1.57, "e_form_raw_ev_per_fu": 0.047, "magnetic_moment_mub_per_cell": 0.0, "cell": [[-2.2627, -2.5388, -2.5477], [-3.8298, 1.2310, -1.3689], [-0.5639, 1.0417, -4.0808]], "species": ["Zn", "P", "P", "F"], "fractional_positions": [[0.5000, 0.5000, 0.5000], [0.7500, 0.7500, 0.7500], [0.2500, 0.2500, 0.2500], [0.0000, 0.0000, 0.0000]]}

***

(3)
{"formula": "Ta2Ru", "functional": "PBE-GGA", "state": "optimized geometry", "n_ef_per_ev_cell": 2.21, "magnetic_moment_mub_per_cell": 0.0, "formation_energy_ev_per_atom": -0.299, "cell": [[-3.0518, -0.6419, 0.7595], [0.7735, 0.0087, 3.1151], [0.1889, 5.0976, -1.7147]], "species": ["Ru", "Ta", "Ta"], "fractional_positions": [[0.0000, 0.0000, 0.0000], [0.3373, 0.3373, 0.6746], [0.6627, 0.6627, 0.3254]]}

***

(4)
{"formula": "BaEuZnPd", "functional": "PBE-GGA", "state": "optimized geometry", "n_ef_per_ev_cell": 8.69, "magnetic_moment_mub_per_cell": 7.4, "formation_energy_ev_per_atom": -0.318, "cell": [[-1.0638, -4.6310, 2.6613], [3.0646, -4.4144, -0.8841], [3.4094, -1.7660, 3.8623]], "species": ["Pd", "Eu", "Zn", "Ba"], "fractional_positions": [[0.5000, 0.5000, 0.5000], [0.7500, 0.7500, 0.7500], [0.0000, 0.0000, 0.0000], [0.2500, 0.2500, 0.2500]]}

***

(5)
{"formula": "Pm2MnNiGe6", "functional": "PBE-GGA", "state": "optimized geometry", "n_ef_per_ev_cell": 10.82, "magnetic_moment_mub_per_cell": 4.7, "formation_energy_ev_per_atom": -0.230, "cell": [[7.4130, 0.0000, 0.0000], [3.7065, 6.4198, 0.0000], [3.7065, 2.1399, 8.9111]], "species": ["Ge", "Pm", "Ge", "Ge", "Ge", "Ni", "Ge", "Ge", "Ge", "Mn", "Ge", "Ge", "Ge", "Mn", "Ni", "Ge", "Pm", "Ge", "Pm", "Pm"], "fractional_positions": [[0.3902, 0.3902, 0.3503], [0.7100, 0.7100, 0.8699], [0.3902, 0.8693, 0.3503], [0.1307, 0.6098, 0.6497], [0.2058, 0.7330, 0.8554], [0.6014, 0.6014, 0.1958], [0.2058, 0.2058, 0.8554], [0.2670, 0.7942, 0.1446], [0.8693, 0.3902, 0.3503], [0.0000, 0.0000, 0.0000], [0.6098, 0.1307, 0.6497], [0.7330, 0.2058, 0.8554], [0.7942, 0.7942, 0.1446], [0.5000, 0.5000, 0.5000], [0.3986, 0.3986, 0.8042], [0.6098, 0.6098, 0.6497], [0.1323, 0.1323, 0.6032], [0.7942, 0.2670, 0.1446], [0.8677, 0.8677, 0.3968], [0.2900, 0.2900, 0.1301]]}

***

(6)
{"formula": "SmMg2Pt9", "functional": "PBE-GGA", "state": "optimized geometry", "n_ef_per_ev_cell": 9.72, "magnetic_moment_mub_per_cell": 0.0, "formation_energy_ev_per_atom": -0.635, "cell": [[5.1345, 0.0000, 1.5281], [2.3399, 4.5704, 1.5281], [0.0368, 0.0225, 9.2665]], "species": ["Pt", "Sm", "Mg", "Mg", "Pt", "Pt", "Pt", "Pt", "Pt", "Pt", "Pt", "Pt"], "fractional_positions": [[0.5887, 0.5887, 0.7413], [0.0000, 0.0000, 0.0000], [0.8553, 0.8553, 0.4340], [0.1447, 0.1447, 0.5660], [0.4113, 0.9187, 0.2587], [0.5000, 0.5000, 0.5000], [0.6665, 0.6665, 0.0006], [0.0813, 0.5887, 0.7413], [0.4113, 0.4113, 0.2587], [0.3335, 0.3335, 0.9994], [0.9187, 0.4113, 0.2587], [0.5887, 0.0813, 0.7413]]}

***

(7)
{"formula": "Ca4HgOs", "functional": "PBE-GGA", "state": "optimized geometry", "n_ef_per_ev_cell": 7.76, "magnetic_moment_mub_per_cell": 0.0, "formation_energy_ev_per_atom": 0.873, "cell": [[4.9164, -0.1233, 3.5506], [-0.0281, 2.9113, 5.3213], [-0.0792, -3.1526, 5.1815]], "species": ["Os", "Hg", "Ca", "Ca", "Ca", "Ca"], "fractional_positions": [[0.0000, 0.0000, 0.0000], [0.7500, 0.7500, 0.7500], [0.8786, 0.3738, 0.3738], [0.3738, 0.8786, 0.3738], [0.3738, 0.3738, 0.8786], [0.3738, 0.3738, 0.3738]]}

***

(8)
{"formula": "Y2CoCl", "functional": "PBE-GGA", "state": "optimized geometry", "n_ef_per_ev_cell": 3.95, "e_form_raw_ev_per_fu": -2.558, "magnetic_moment_mub_per_cell": 0.5, "cell": [[-4.7557, -6.2694, 1.0850], [-0.8522, -7.7393, -1.5733], [4.0912, 6.4183, 2.2729]], "species": ["Co", "Y", "Y", "Cl"], "fractional_positions": [[0.1984, 0.6984, 0.5000], [0.7812, 0.2812, 0.5000], [0.0703, 0.0703, 0.0000], [0.4501, 0.4501, 0.0000]]}

***

(9)
{"formula": "Ca3Np3OsN8", "functional": "PBE-GGA", "state": "optimized geometry", "n_ef_per_ev_cell": 14.12, "e_form_raw_ev_per_fu": -12.798, "magnetic_moment_mub_per_cell": 4.9, "cell": [[6.6474, -0.0001, 0.0001], [-3.3238, 5.7570, -0.0193], [0.0001, -3.8193, 5.6929]], "species": ["N", "Np", "N", "N", "N", "Np", "Ca", "N", "N", "Ca", "Os", "N", "Ca", "Np", "N"], "fractional_positions": [[0.2309, 0.9697, 0.7005], [0.0000, 0.5000, 0.5000], [0.7387, 0.9697, 0.7006], [0.2310, 0.4618, 0.7005], [0.2613, 0.0303, 0.2994], [0.5000, 0.5000, 0.5000], [0.5000, 0.5000, 0.0000], [0.7691, 0.0303, 0.2995], [0.7418, 0.4834, 0.7250], [0.0000, 0.0000, 0.0000], [0.0000, 0.0000, 0.5000], [0.7690, 0.5382, 0.2995], [0.0000, 0.5000, 0.0000], [0.5000, 0.0000, 0.5000], [0.2582, 0.5166, 0.2750]]}

***

(10)
{"formula": "LaPr3Y6Er2", "functional": "PBE-GGA", "state": "optimized geometry", "n_ef_per_ev_cell": 16.27, "magnetic_moment_mub_per_cell": 0.0, "formation_energy_ev_per_atom": 0.018, "cell": [[-4.3146, -1.6532, -4.2252], [-1.5047, 0.2576, 6.0721], [-1.1647, 11.7250, -1.8580]], "species": ["Y", "La", "Y", "Y", "Er", "Y", "Y", "Y", "Pr", "Pr", "Er", "Pr"], "fractional_positions": [[0.9173, 0.5827, 0.7524], [0.0000, 0.0000, 0.0000], [0.2521, 0.2521, 0.7522], [0.7479, 0.7479, 0.2478], [0.3333, 0.6667, 0.0000], [0.0827, 0.4173, 0.2476], [0.4173, 0.0827, 0.2476], [0.5827, 0.9173, 0.7524], [0.1671, 0.8329, 0.5000], [0.8329, 0.1671, 0.5000], [0.6667, 0.3333, 0.0000], [0.5000, 0.5000, 0.5000]]}

***

(11)
{"formula": "CeSmCrN3", "functional": "PBE-GGA", "state": "optimized geometry", "n_ef_per_ev_cell": 7.91, "e_form_raw_ev_per_fu": -6.557, "magnetic_moment_mub_per_cell": 0.0, "cell": [[3.4624, 0.0000, 0.0000], [0.0000, 7.2375, 0.9631], [0.0000, -1.6954, 7.2663]], "species": ["Sm", "Ce", "Sm", "Cr", "N", "Ce", "N", "N", "N", "N", "Cr", "N"], "fractional_positions": [[0.2500, 0.1560, 0.1644], [0.7500, 0.3679, 0.8209], [0.7500, 0.8440, 0.8356], [0.2500, 0.0824, 0.5928], [0.2500, 0.1159, 0.8440], [0.2500, 0.6321, 0.1791], [0.7500, 0.3970, 0.1321], [0.2500, 0.8416, 0.4801], [0.7500, 0.8841, 0.1560], [0.7500, 0.1584, 0.5199], [0.7500, 0.9176, 0.4072], [0.2500, 0.6030, 0.8679]]}

***

(12)
{"formula": "Ga2SnHg2", "functional": "PBE-GGA", "state": "optimized geometry", "n_ef_per_ev_cell": 5.38, "magnetic_moment_mub_per_cell": 0.0, "formation_energy_ev_per_atom": 0.089, "cell": [[-5.8605, 5.9635, 0.1051], [-5.9530, -5.8574, 0.4147], [0.1515, 0.0885, 3.4257]], "species": ["Ga", "Hg", "Hg", "Hg", "Hg", "Ga", "Sn", "Ga", "Sn", "Ga"], "fractional_positions": [[0.8698, 0.3698, 0.5000], [0.8321, 0.6679, 0.0000], [0.6679, 0.1679, 0.0000], [0.3321, 0.8321, 0.0000], [0.1679, 0.3321, 0.0000], [0.6302, 0.8698, 0.5000], [0.0000, 0.0000, 0.0000], [0.3698, 0.1302, 0.5000], [0.5000, 0.5000, 0.0000], [0.1302, 0.6302, 0.5000]]}